(1)
A relaxed PmEr2Si2Pt7 crystal, computed with PBE.

Output
formation energy (no corrections)	-1.07	eV per atom
VASP energy	-79.9	eV/f.u.
volume	448.5	Å³ per cell

Structure (CIF):
```
data_PmEr2Si2Pt7
_cell_length_a 5.762
_cell_length_b 5.699
_cell_length_c 13.832
_cell_angle_alpha 90.00
_cell_angle_beta 99.06
_cell_angle_gamma 90.00
_space_group_name_H-M_alt 'C 1 2/m 1'
_space_group_IT_number 12
loop_
_space_group_symop_operation_xyz
'x,y,z'
'-x,-y,-z'
'-x,y,-z'
'x,-y,z'
'x+1/2,y+1/2,z'
'-x+1/2,-y+1/2,-z'
'-x+1/2,y+1/2,-z'
'x+1/2,-y+1/2,z'
loop_
_atom_site_label
_atom_site_type_symbol
_atom_site_fract_x
_atom_site_fract_y
_atom_site_fract_z
Pm1 Pm 0.000 0.000 0.000
Er1 Er 0.121 0.000 0.359
Si1 Si 0.101 0.500 0.261
Pt1 Pt 0.000 0.500 0.000
Pt2 Pt 0.138 0.500 0.430
Pt3 Pt 0.185 0.250 0.833
```

=====

(2)
A relaxed Pm2ErSi2Pt7 crystal, computed with PBE.

Output
formation energy (no corrections)	-1.13	eV per atom
VASP energy	-80.8	eV/f.u.
volume	454.3	Å³ per cell

Structure (CIF):
```
data_Pm2ErSi2Pt7
_cell_length_a 5.781
_cell_length_b 5.733
_cell_length_c 13.839
_cell_angle_alpha 90.00
_cell_angle_beta 97.91
_cell_angle_gamma 90.00
_space_group_name_H-M_alt 'C 1 2/m 1'
_space_group_IT_number 12
loop_
_space_group_symop_operation_xyz
'x,y,z'
'-x,-y,-z'
'-x,y,-z'
'x,-y,z'
'x+1/2,y+1/2,z'
'-x+1/2,-y+1/2,-z'
'-x+1/2,y+1/2,-z'
'x+1/2,-y+1/2,z'
loop_
_atom_site_label
_atom_site_type_symbol
_atom_site_fract_x
_atom_site_fract_y
_atom_site_fract_z
Pm1 Pm 0.106 0.000 0.355
Er1 Er 0.000 0.000 0.000
Si1 Si 0.085 0.500 0.252
Pt1 Pt 0.000 0.500 0.000
Pt2 Pt 0.119 0.500 0.424
Pt3 Pt 0.197 0.250 0.843
```

=====

> What is the VASP energy in the first record?

-79.9 eV/f.u.